Below is a relaxed structure of MgTe2Rh, with properties calculated at the GGA-PBE level.

Summary:
* SG: No. 10
* uncorrected energy: -4.08 eV/atom
* DOS at the Fermi energy: 0.37 states/eV per atom
* formation energy without anion corrections: -0.271 eV per atom

Lattice parameters (Å, degrees): 5.0904 3.9554 5.1067 90.00 108.07 90.00
Last column: nearest neighbours and their distance in Å.
Sites, in units of the cell vectors:
Mg 0.0000 0.0000 0.0000  2 Rh 2.99, 4 Te 3.10
Te 0.2897 0.5000 0.7107  2 Rh 2.63
Te 0.7103 0.5000 0.2893  2 Rh 2.63
Rh 0.5000 0.0000 0.5000  4 Te 2.63

---

Below is a relaxed structure of MgTe2Rh, with properties calculated at the GGA-PBE level.

Summary:
* SG: No. 12
* uncorrected energy: -3.92 eV/atom
* DOS at the Fermi energy: 0.59 states/eV per atom
* formation energy without anion corrections: -0.115 eV per atom

Lattice parameters (Å, degrees): 5.0091 5.0091 4.9676 112.00 112.00 104.39
Last column: nearest neighbours and their distance in Å.
Sites, in units of the cell vectors:
Mg 0.0000 0.0000 0.0000  4 Te 2.79, 2 Rh 3.07
Te 0.0000 0.5000 0.5000  2 Rh 2.79, 2 Mg 2.79, 2 Te 3.07
Te 0.5000 0.0000 0.5000  2 Rh 2.79, 2 Mg 2.79, 2 Te 3.07
Rh 0.5000 0.5000 0.0000  4 Te 2.79, 2 Mg 3.07

---

Below is a relaxed structure of MgTe2Rh, with properties calculated at the GGA-PBE level.

Summary:
* SG: No. 119
* uncorrected energy: -3.84 eV/atom
* DOS at the Fermi energy: 0.42 states/eV per atom
* formation energy without anion corrections: -0.034 eV per atom

Lattice parameters (Å, degrees): 6.1316 6.1316 6.1316 141.62 141.62 55.40
Last column: nearest neighbours and their distance in Å.
Sites, in units of the cell vectors:
Mg 0.0000 0.0000 0.0000  4 Te 2.85
Te 0.5000 0.5000 0.0000  4 Mg 2.85
Te 0.7500 0.2500 0.5000  4 Rh 2.85
Rh 0.2500 0.7500 0.5000  4 Te 2.85

---

Below is a relaxed structure of MgTeRh2, with properties calculated at the GGA-PBE level.

Summary:
* SG: No. 119
* uncorrected energy: -5.13 eV/atom
* DOS at the Fermi energy: 1.08 states/eV per atom
* formation energy without anion corrections: -0.271 eV per atom

Lattice parameters (Å, degrees): 5.2232 5.2232 5.2232 136.43 136.43 63.31
Last column: nearest neighbours and their distance in Å.
Sites, in units of the cell vectors:
Mg 0.0000 0.0000 0.0000  8 Rh 2.74-2.95, 4 Te 2.95
Te 0.7500 0.2500 0.5000  8 Rh 2.74-2.95, 4 Mg 2.95
Rh 0.2500 0.7500 0.5000  4 Te 2.74, 4 Mg 2.95, 4 Rh 2.95
Rh 0.5000 0.5000 0.0000  4 Mg 2.74, 4 Te 2.95, 4 Rh 2.95

---

Below is a relaxed structure of MgTeRh2, with properties calculated at the GGA-PBE level.

Summary:
* SG: No. 123
* uncorrected energy: -5.23 eV/atom
* DOS at the Fermi energy: 0.71 states/eV per atom
* formation energy without anion corrections: -0.365 eV per atom

Lattice parameters (Å, degrees): 4.3186 4.3186 3.5574 90.00 90.00 90.00
Last column: nearest neighbours and their distance in Å.
Sites, in units of the cell vectors:
Mg 0.0000 0.0000 0.0000  8 Rh 2.80, 4 Te 3.05
Te 0.5000 0.5000 0.0000  8 Rh 2.80, 4 Mg 3.05
Rh 0.0000 0.5000 0.5000  4 Te 2.80, 4 Mg 2.80, 4 Rh 3.05
Rh 0.5000 0.0000 0.5000  4 Te 2.80, 4 Mg 2.80, 4 Rh 3.05

---

Below is a relaxed structure of MgTeRh4, with properties calculated at the GGA-PBE level.

Summary:
* SG: No. 216
* uncorrected energy: -5.68 eV/atom
* DOS at the Fermi energy: 0.86 states/eV per atom
* formation energy without anion corrections: 0.012 eV per atom

Lattice parameters (Å, degrees): 5.2447 5.2447 5.2447 60.00 60.00 60.00
Last column: nearest neighbours and their distance in Å.
Sites, in units of the cell vectors:
Mg 0.0000 0.0000 0.0000  12 Rh 3.07, 4 Te 3.21
Te 0.2500 0.2500 0.2500  12 Rh 3.08, 4 Mg 3.21
Rh 0.1249 0.6250 0.6250  6 Rh 2.62
Rh 0.6250 0.1249 0.6250  6 Rh 2.62
Rh 0.6250 0.6250 0.1249  6 Rh 2.62
Rh 0.6250 0.6250 0.6250  6 Rh 2.62

---

Below is a relaxed structure of Mg2TeRh, with properties calculated at the GGA-PBE level.

Summary:
* SG: No. 8
* uncorrected energy: -3.80 eV/atom
* DOS at the Fermi energy: 0.35 states/eV per atom
* formation energy without anion corrections: -0.378 eV per atom

Lattice parameters (Å, degrees): 4.8915 4.8915 6.7065 111.66 111.66 37.57
Last column: nearest neighbours and their distance in Å.
Sites, in units of the cell vectors:
Mg 0.0000 0.0000 0.0000  2 Rh 2.73, 1 Te 3.00, 1 Mg 3.03
Mg 0.1760 0.1760 0.7018  3 Rh 2.55-2.65
Te 0.8228 0.8228 0.2909  2 Rh 2.69, 1 Mg 3.00
Rh 0.4324 0.4324 0.6429  5 Mg 2.55-2.73, 2 Te 2.69

---

Below is a relaxed structure of Mg2TeRh, with properties calculated at the GGA-PBE level.

Summary:
* SG: No. 44
* uncorrected energy: -3.85 eV/atom
* DOS at the Fermi energy: 0.33 states/eV per atom
* formation energy without anion corrections: -0.431 eV per atom

Lattice parameters (Å, degrees): 6.7814 6.7814 6.7814 153.34 141.85 47.15
Last column: nearest neighbours and their distance in Å.
Sites, in units of the cell vectors:
Mg 0.0000 0.0000 0.0000  4 Rh 2.71
Mg 0.6724 0.1724 0.5000  2 Rh 2.75, 2 Mg 3.08
Te 0.3120 0.8120 0.5000  2 Rh 2.71
Rh 0.4901 0.4901 0.0000  2 Te 2.71, 6 Mg 2.71-2.75